Density functional theory data (PBE) for a relaxed ThAs2Pd7Au crystal.

Properties
As for the formation energy: -2.69 eV/f.u. Its volume is 235 Å³ per cell. Its space-group type is P4/mmm.

Cell: 3.9742 3.9742 14.8705 Å, 90.00 90.00 90.00°
Last column: nearest neighbours and their distance in Å.
Fractional coordinates of all 11 atoms:
1 Th 0.0000 0.0000 0.0000  12 Pd 2.81-3.02
2 As 0.5000 0.5000 0.2567  5 Pd 2.33-2.52
3 As 0.5000 0.5000 0.7433  5 Pd 2.33-2.52
4 Pd 0.0000 0.5000 0.1528  2 As 2.52, 4 Pd 2.81
5 Pd 0.0000 0.5000 0.8472  2 As 2.52, 4 Pd 2.81
6 Pd 0.5000 0.0000 0.1528  2 As 2.52, 4 Pd 2.81
7 Pd 0.5000 0.0000 0.8472  2 As 2.52, 4 Pd 2.81
8 Pd 0.5000 0.5000 0.0000  4 Th 2.81, 8 Pd 3.02
9 Pd 0.5000 0.5000 0.4133  1 As 2.33, 1 Pd 2.58
10 Pd 0.5000 0.5000 0.5867  1 As 2.33, 1 Pd 2.58
11 Au 0.0000 0.0000 0.5000  8 Pd 3.09